Density functional theory data (GGA-PBE) for a relaxed Na4Pu3AlSe8 crystal.

Lattice parameters (Å, degrees): 8.2794 8.4067 8.2794 119.52 120.00 90.00
Last column: magnetic moment on the atom in μB.
Positions (direct):
Na1 0.5000 0.0000 0.0000  0.00
Na2 0.5000 0.0000 0.5000  0.00
Na3 0.0000 0.0000 0.0000  0.00
Na4 0.0000 0.0000 0.5000  0.00
Pu1 0.5000 0.5000 0.0000  5.10
Pu2 0.5000 0.5000 0.5000  5.10
Pu3 0.0000 0.5000 0.5000  5.10
Al1 0.0000 0.5000 0.0000  0.04
Se1 0.2279 0.7190 0.9913  -0.08
Se2 0.2281 0.7193 0.4561  -0.08
Se3 0.2560 0.2683 0.5120  -0.11
Se4 0.7634 0.7190 0.9913  -0.08
Se5 0.2366 0.2810 0.0087  -0.08
Se6 0.7440 0.7317 0.4880  -0.11
Se7 0.7719 0.2807 0.5439  -0.08
Se8 0.7721 0.2810 0.0087  -0.08

Properties
- VASP energy: -6.25 eV per atom
- Size of the total moment: 15.0 μB/cell